The following is a DFT calculation (PBE-GGA) of an optimized crystal structure of LiHfCr3.

ΔE to the lowest computed polymorph = 413.9 meV/atom
energy of formation = 1.600 eV per atom

Cell lengths 4.9109, 4.9109, 4.9109 Å; angles 90.00, 90.00, 90.00 degrees
Space group Pm-3m (No. 221)
One atom of each set of equivalent atoms:
Li  0.0000  0.0000  0.0000 x1
Hf  0.5000  0.5000  0.5000 x1
Cr  0.0000  0.5000  0.5000 x3


The following is a DFT calculation (PBE-GGA) of an optimized crystal structure of K2Fe5Se5.

Cell lengths 8.2679, 8.2679, 15.3183 Å; angles 90.00, 90.00, 90.00 degrees
Space group I4/m (No. 87)
One atom of each set of equivalent atoms:
K  0.1245  0.3076  0.0000 x8
Fe  0.0000  0.5000  0.2500 x4
Fe  0.1003  0.8003  0.2492 x16
Se  0.0000  0.0000  0.1403 x4
Se  0.0982  0.2997  0.3568 x16


So what do the calculations give for total energy? Going down the list: -32.73; -67.47 eV per formula unit.